Entry from the Alexandria database: a relaxed PuAl2Si crystal (PBE). Values from VASP.

Structure (Quantum ESPRESSO input):
```
&SYSTEM
  ibrav = 0, nat = 4, ntyp = 3
/
ATOMIC_SPECIES
Pu 244.00 Pu.upf
Al 26.98 Al.upf
Si 28.09 Si.upf
CELL_PARAMETERS angstrom
4.1227 0.0000 0.0000
0.0000 4.1227 0.0000
0.0000 0.0000 4.3074
ATOMIC_POSITIONS crystal
Pu 0.0000 0.0000 0.0000
Al 0.0000 0.5000 0.5000
Al 0.5000 0.0000 0.5000
Si 0.5000 0.5000 0.0000
```

* total magnetic moment: 5.23 μB per formula unit
* crystal system: tetragonal
* mass density: 7.40 Mg/m³

***

Entry from the Alexandria database: a relaxed Pu3AlSi3 crystal (PBE). Values from VASP.

Structure (Quantum ESPRESSO input):
```
&SYSTEM
  ibrav = 0, nat = 7, ntyp = 3
/
ATOMIC_SPECIES
Pu 244.00 Pu.upf
Al 26.98 Al.upf
Si 28.09 Si.upf
CELL_PARAMETERS angstrom
-1.9872 2.0114 9.1370
1.9872 -2.0114 9.1370
1.9872 2.0114 -9.1370
ATOMIC_POSITIONS crystal
Pu 0.0000 0.0000 0.0000
Pu 0.2032 0.7032 0.5000
Pu 0.3882 0.3882 0.0000
Al 0.6307 0.1307 0.5000
Si 0.5545 0.5545 0.0000
Si 0.7631 0.2631 0.5000
Si 0.8368 0.8368 0.0000
```

* total magnetic moment: 5.43 μB per formula unit
* crystal system: orthorhombic
* mass density: 9.59 Mg/m³

***

Entry from the Alexandria database: a relaxed Pu2Al3Si4 crystal (PBE). Values from VASP.

Structure (Quantum ESPRESSO input):
```
&SYSTEM
  ibrav = 0, nat = 18, ntyp = 3
/
ATOMIC_SPECIES
Pu 244.00 Pu.upf
Al 26.98 Al.upf
Si 28.09 Si.upf
CELL_PARAMETERS angstrom
2.8471 -7.3242 0.0000
2.8471 7.3242 0.0000
0.0000 0.0000 7.6863
ATOMIC_POSITIONS crystal
Pu 0.1121 0.8879 0.9218
Pu 0.3879 0.6121 0.4218
Pu 0.6121 0.3879 0.5782
Pu 0.8879 0.1121 0.0782
Al 0.0000 0.0000 0.5000
Al 0.0311 0.4689 0.7500
Al 0.4689 0.0311 0.2500
Al 0.5000 0.5000 0.0000
Al 0.5311 0.9689 0.7500
Al 0.9689 0.5311 0.2500
Si 0.1825 0.8175 0.5481
Si 0.2004 0.2996 0.7500
Si 0.2996 0.2004 0.2500
Si 0.3175 0.6825 0.0481
Si 0.6825 0.3175 0.9519
Si 0.7004 0.7996 0.7500
Si 0.7996 0.7004 0.2500
Si 0.8175 0.1825 0.4519
```

* total magnetic moment: 10.86 μB per formula unit
* crystal system: orthorhombic
* mass density: 7.06 Mg/m³

***

Entry from the Alexandria database: a relaxed Pu3Al3Si8 crystal (PBE). Values from VASP.

Structure (Quantum ESPRESSO input):
```
&SYSTEM
  ibrav = 0, nat = 14, ntyp = 3
/
ATOMIC_SPECIES
Pu 244.00 Pu.upf
Al 26.98 Al.upf
Si 28.09 Si.upf
CELL_PARAMETERS angstrom
-2.0724 4.5918 6.2524
2.0724 -4.5918 6.2524
2.0724 4.5918 -6.2524
ATOMIC_POSITIONS crystal
Pu 0.0000 0.0000 0.0000
Pu 0.3083 0.3083 0.0000
Pu 0.6917 0.6917 0.0000
Al 0.2898 0.5000 0.7898
Al 0.5000 0.0000 0.5000
Al 0.7102 0.5000 0.2102
Si 0.0325 0.6666 0.3659
Si 0.1366 0.8618 0.2748
Si 0.3007 0.6666 0.6341
Si 0.4130 0.1382 0.2748
Si 0.5870 0.8618 0.7252
Si 0.6993 0.3334 0.3659
Si 0.8634 0.1382 0.7252
Si 0.9675 0.3334 0.6341
```

* total magnetic moment: 16.14 μB per formula unit
* crystal system: orthorhombic
* mass density: 7.24 Mg/m³

***

Entry from the Alexandria database: a relaxed PuAl3Si2 crystal (PBE). Values from VASP.

Structure (Quantum ESPRESSO input):
```
&SYSTEM
  ibrav = 0, nat = 12, ntyp = 3
/
ATOMIC_SPECIES
Pu 244.00 Pu.upf
Al 26.98 Al.upf
Si 28.09 Si.upf
CELL_PARAMETERS angstrom
7.1560 -2.1540 0.0000
7.1560 2.1540 0.0000
-4.5131 0.0000 6.8154
ATOMIC_POSITIONS crystal
Pu 0.1323 0.1323 0.1205
Pu 0.8677 0.8677 0.8795
Al 0.0073 0.0073 0.6748
Al 0.2450 0.2450 0.5844
Al 0.3832 0.3832 0.3976
Al 0.6168 0.6168 0.6024
Al 0.7550 0.7550 0.4156
Al 0.9927 0.9927 0.3252
Si 0.2293 0.2293 0.8946
Si 0.4869 0.4869 0.8299
Si 0.5131 0.5131 0.1701
Si 0.7707 0.7707 0.1054
```

* total magnetic moment: 5.24 μB per formula unit
* crystal system: monoclinic
* mass density: 6.02 Mg/m³

***

Entry from the Alexandria database: a relaxed PuAl2Si crystal (PBE). Values from VASP.

Structure (Quantum ESPRESSO input):
```
&SYSTEM
  ibrav = 0, nat = 8, ntyp = 3
/
ATOMIC_SPECIES
Pu 244.00 Pu.upf
Al 26.98 Al.upf
Si 28.09 Si.upf
CELL_PARAMETERS angstrom
6.5154 0.0000 0.0000
0.0000 2.2098 5.1793
0.0000 -2.2098 5.1793
ATOMIC_POSITIONS crystal
Pu 0.0000 0.0000 0.0000
Pu 0.5000 0.1842 0.1842
Al 0.0000 0.2882 0.2882
Al 0.3039 0.4742 0.4742
Al 0.5000 0.8916 0.8916
Al 0.6961 0.4742 0.4742
Si 0.1867 0.7017 0.7017
Si 0.8133 0.7017 0.7017
```

* total magnetic moment: 0.04 μB per formula unit
* crystal system: orthorhombic
* mass density: 7.26 Mg/m³

***

Entry from the Alexandria database: a relaxed PuAl2Si2 crystal (PBE). Values from VASP.

Structure (Quantum ESPRESSO input):
```
&SYSTEM
  ibrav = 0, nat = 5, ntyp = 3
/
ATOMIC_SPECIES
Pu 244.00 Pu.upf
Al 26.98 Al.upf
Si 28.09 Si.upf
CELL_PARAMETERS angstrom
2.1866 1.2624 5.4120
-2.1866 1.2624 5.4120
0.0000 -2.5249 5.4120
ATOMIC_POSITIONS crystal
Pu 0.0000 0.0000 0.0000
Al 0.2052 0.2052 0.2052
Al 0.7948 0.7948 0.7948
Si 0.4259 0.4259 0.4259
Si 0.5741 0.5741 0.5741
```

* total magnetic moment: 5.53 μB per formula unit
* crystal system: trigonal
* mass density: 6.56 Mg/m³

***

Entry from the Alexandria database: a relaxed PuAl2Si crystal (PBE). Values from VASP.

Structure (Quantum ESPRESSO input):
```
&SYSTEM
  ibrav = 0, nat = 4, ntyp = 3
/
ATOMIC_SPECIES
Pu 244.00 Pu.upf
Al 26.98 Al.upf
Si 28.09 Si.upf
CELL_PARAMETERS angstrom
1.4604 0.8431 10.1286
-1.4604 0.8431 10.1286
0.0000 -1.6863 10.1286
ATOMIC_POSITIONS crystal
Pu 0.0000 0.0000 0.0000
Al 0.0980 0.0980 0.0980
Al 0.9020 0.9020 0.9020
Si 0.5000 0.5000 0.5000
```

* total magnetic moment: 5.12 μB per formula unit
* crystal system: trigonal
* mass density: 7.24 Mg/m³

***

Entry from the Alexandria database: a relaxed Pu4AlSi crystal (PBE). Values from VASP.

Structure (Quantum ESPRESSO input):
```
&SYSTEM
  ibrav = 0, nat = 6, ntyp = 3
/
ATOMIC_SPECIES
Pu 244.00 Pu.upf
Al 26.98 Al.upf
Si 28.09 Si.upf
CELL_PARAMETERS angstrom
3.0468 0.0000 0.0000
0.0000 5.0268 0.0000
0.0000 0.0000 8.6735
ATOMIC_POSITIONS crystal
Pu 0.0000 0.0000 0.1634
Pu 0.0000 0.0000 0.8366
Pu 0.0000 0.5000 0.3289
Pu 0.0000 0.5000 0.6711
Al 0.5000 0.0000 0.5000
Si 0.5000 0.5000 0.0000
```

* total magnetic moment: 22.93 μB per formula unit
* crystal system: orthorhombic
* mass density: 12.89 Mg/m³

***

Entry from the Alexandria database: a relaxed PuAlSi2 crystal (PBE). Values from VASP.

Structure (Quantum ESPRESSO input):
```
&SYSTEM
  ibrav = 0, nat = 32, ntyp = 3
/
ATOMIC_SPECIES
Pu 244.00 Pu.upf
Al 26.98 Al.upf
Si 28.09 Si.upf
CELL_PARAMETERS angstrom
13.0870 0.0000 0.0000
0.0000 4.0970 0.0000
0.0000 0.0000 10.7394
ATOMIC_POSITIONS crystal
Pu 0.0482 0.2500 0.2426
Pu 0.2006 0.7500 0.9475
Pu 0.2994 0.2500 0.4475
Pu 0.4518 0.7500 0.7426
Pu 0.5482 0.2500 0.2574
Pu 0.7006 0.7500 0.5525
Pu 0.7994 0.2500 0.0525
Pu 0.9518 0.7500 0.7574
Al 0.0620 0.2500 0.5471
Al 0.1978 0.7500 0.6515
Al 0.3022 0.2500 0.1515
Al 0.4380 0.7500 0.0471
Al 0.5620 0.2500 0.9529
Al 0.6978 0.7500 0.8485
Al 0.8022 0.2500 0.3485
Al 0.9380 0.7500 0.4529
Si 0.0317 0.2500 0.9647
Si 0.1119 0.2500 0.7732
Si 0.1322 0.7500 0.4281
Si 0.2061 0.7500 0.2261
Si 0.2939 0.2500 0.7261
Si 0.3678 0.2500 0.9281
Si 0.3881 0.7500 0.2732
Si 0.4683 0.7500 0.4647
Si 0.5317 0.2500 0.5353
Si 0.6119 0.2500 0.7268
Si 0.6322 0.7500 0.0719
Si 0.7061 0.7500 0.2739
Si 0.7939 0.2500 0.7739
Si 0.8678 0.2500 0.5719
Si 0.8881 0.7500 0.2268
Si 0.9683 0.7500 0.0353
```

* total magnetic moment: 0.05 μB per formula unit
* crystal system: orthorhombic
* mass density: 7.55 Mg/m³

***

Entry from the Alexandria database: a relaxed Pu3Al2Si3 crystal (PBE). Values from VASP.

Structure (Quantum ESPRESSO input):
```
&SYSTEM
  ibrav = 0, nat = 16, ntyp = 3
/
ATOMIC_SPECIES
Pu 244.00 Pu.upf
Al 26.98 Al.upf
Si 28.09 Si.upf
CELL_PARAMETERS angstrom
2.0923 -5.3881 0.0000
2.0923 5.3881 0.0000
0.0000 0.0000 13.9959
ATOMIC_POSITIONS crystal
Pu 0.0623 0.9377 0.6177
Pu 0.0623 0.9377 0.8823
Pu 0.3634 0.6366 0.7500
Pu 0.6366 0.3634 0.2500
Pu 0.9377 0.0623 0.1177
Pu 0.9377 0.0623 0.3823
Al 0.2238 0.7762 0.0924
Al 0.2238 0.7762 0.4076
Al 0.7762 0.2238 0.5924
Al 0.7762 0.2238 0.9076
Si 0.3503 0.6497 0.2500
Si 0.3918 0.6082 0.5399
Si 0.3918 0.6082 0.9601
Si 0.6082 0.3918 0.0399
Si 0.6082 0.3918 0.4601
Si 0.6497 0.3503 0.7500
```

* total magnetic moment: 5.44 μB per formula unit
* crystal system: orthorhombic
* mass density: 9.16 Mg/m³

***

Entry from the Alexandria database: a relaxed Pu2Al3Si2 crystal (PBE). Values from VASP.

Structure (Quantum ESPRESSO input):
```
&SYSTEM
  ibrav = 0, nat = 7, ntyp = 3
/
ATOMIC_SPECIES
Pu 244.00 Pu.upf
Al 26.98 Al.upf
Si 28.09 Si.upf
CELL_PARAMETERS angstrom
2.0622 -10.9072 0.0000
2.0622 10.9072 0.0000
0.0000 0.0000 2.8874
ATOMIC_POSITIONS crystal
Pu 0.1509 0.8491 0.0000
Pu 0.8491 0.1509 0.0000
Al 0.0000 0.0000 0.0000
Al 0.4371 0.5629 0.5000
Al 0.5629 0.4371 0.5000
Si 0.2788 0.7212 0.5000
Si 0.7212 0.2788 0.5000
```

* total magnetic moment: 10.74 μB per formula unit
* crystal system: orthorhombic
* mass density: 7.99 Mg/m³

***

Entry from the Alexandria database: a relaxed PuAlSi2 crystal (PBE). Values from VASP.

Structure (Quantum ESPRESSO input):
```
&SYSTEM
  ibrav = 0, nat = 4, ntyp = 3
/
ATOMIC_SPECIES
Pu 244.00 Pu.upf
Al 26.98 Al.upf
Si 28.09 Si.upf
CELL_PARAMETERS angstrom
4.1776 0.0000 0.0000
0.0000 4.1776 0.0000
0.0000 0.0000 3.9736
ATOMIC_POSITIONS crystal
Pu 0.0000 0.0000 0.0000
Al 0.5000 0.5000 0.0000
Si 0.0000 0.5000 0.5000
Si 0.5000 0.0000 0.5000
```

* total magnetic moment: 4.84 μB per formula unit
* crystal system: tetragonal
* mass density: 7.83 Mg/m³

***

Entry from the Alexandria database: a relaxed Pu3Al2Si4 crystal (PBE). Values from VASP.

Structure (Quantum ESPRESSO input):
```
&SYSTEM
  ibrav = 0, nat = 9, ntyp = 3
/
ATOMIC_SPECIES
Pu 244.00 Pu.upf
Al 26.98 Al.upf
Si 28.09 Si.upf
CELL_PARAMETERS angstrom
5.2717 -2.0862 0.0000
5.2717 2.0862 0.0000
-2.1220 0.0000 7.9075
ATOMIC_POSITIONS crystal
Pu 0.0000 0.0000 0.0000
Pu 0.3394 0.3394 0.3263
Pu 0.6606 0.6606 0.6737
Al 0.3832 0.3832 0.7195
Al 0.6168 0.6168 0.2805
Si 0.0648 0.0648 0.3994
Si 0.2799 0.2799 0.9497
Si 0.7201 0.7201 0.0503
Si 0.9352 0.9352 0.6006
```

* total magnetic moment: 5.48 μB per formula unit
* crystal system: monoclinic
* mass density: 8.58 Mg/m³

***

Entry from the Alexandria database: a relaxed PuAl3Si crystal (PBE). Values from VASP.

Structure (Quantum ESPRESSO input):
```
&SYSTEM
  ibrav = 0, nat = 5, ntyp = 3
/
ATOMIC_SPECIES
Pu 244.00 Pu.upf
Al 26.98 Al.upf
Si 28.09 Si.upf
CELL_PARAMETERS angstrom
-2.0480 2.0480 5.5878
2.0480 -2.0480 5.5878
2.0480 2.0480 -5.5878
ATOMIC_POSITIONS crystal
Pu 0.0000 0.0000 0.0000
Al 0.2618 0.7618 0.5000
Al 0.6183 0.6183 0.0000
Al 0.7618 0.2618 0.5000
Si 0.4028 0.4028 0.0000
```

* total magnetic moment: 5.69 μB per formula unit
* crystal system: tetragonal
* mass density: 6.25 Mg/m³
* excess energy over the best structure of this formula in the dataset: 0.0 meV/atom

***

Entry from the Alexandria database: a relaxed PuAlSi4 crystal (PBE). Values from VASP.

Structure (Quantum ESPRESSO input):
```
&SYSTEM
  ibrav = 0, nat = 6, ntyp = 3
/
ATOMIC_SPECIES
Pu 244.00 Pu.upf
Al 26.98 Al.upf
Si 28.09 Si.upf
CELL_PARAMETERS angstrom
0.0000 3.6466 3.6466
3.6466 0.0000 3.6466
3.6466 3.6466 0.0000
ATOMIC_POSITIONS crystal
Pu 0.0000 0.0000 0.0000
Al 0.2500 0.2500 0.2500
Si 0.1287 0.6238 0.6238
Si 0.6238 0.1287 0.6238
Si 0.6238 0.6238 0.1287
Si 0.6238 0.6238 0.6238
```

* total magnetic moment: 5.71 μB per formula unit
* crystal system: cubic
* mass density: 6.56 Mg/m³

***

Entry from the Alexandria database: a relaxed Pu4AlSi2 crystal (PBE). Values from VASP.

Structure (Quantum ESPRESSO input):
```
&SYSTEM
  ibrav = 0, nat = 7, ntyp = 3
/
ATOMIC_SPECIES
Pu 244.00 Pu.upf
Al 26.98 Al.upf
Si 28.09 Si.upf
CELL_PARAMETERS angstrom
2.5062 1.4469 7.1533
-2.5062 1.4469 7.1533
0.0000 -2.8939 7.1533
ATOMIC_POSITIONS crystal
Pu 0.0906 0.0906 0.0906
Pu 0.2549 0.2549 0.2549
Pu 0.7451 0.7451 0.7451
Pu 0.9094 0.9094 0.9094
Al 0.5000 0.5000 0.5000
Si 0.3853 0.3853 0.3853
Si 0.6147 0.6147 0.6147
```

* total magnetic moment: 21.71 μB per formula unit
* crystal system: trigonal
* mass density: 11.30 Mg/m³

***

Entry from the Alexandria database: a relaxed PuAl3Si crystal (PBE). Values from VASP.

Structure (Quantum ESPRESSO input):
```
&SYSTEM
  ibrav = 0, nat = 5, ntyp = 3
/
ATOMIC_SPECIES
Pu 244.00 Pu.upf
Al 26.98 Al.upf
Si 28.09 Si.upf
CELL_PARAMETERS angstrom
4.3370 0.0000 0.0000
0.0000 2.1784 5.2262
0.0000 -2.1784 5.2262
ATOMIC_POSITIONS crystal
Pu 0.0000 0.0000 0.0000
Al 0.0000 0.6984 0.6984
Al 0.5000 0.1911 0.1911
Al 0.5000 0.5151 0.5151
Si 0.0000 0.3251 0.3251
```

* total magnetic moment: 5.65 μB per formula unit
* crystal system: orthorhombic
* mass density: 5.94 Mg/m³
* excess energy over the best structure of this formula in the dataset: 132.1 meV/atom

***

Entry from the Alexandria database: a relaxed PuAlSi crystal (PBE). Values from VASP.

Structure (Quantum ESPRESSO input):
```
&SYSTEM
  ibrav = 0, nat = 3, ntyp = 3
/
ATOMIC_SPECIES
Pu 244.00 Pu.upf
Al 26.98 Al.upf
Si 28.09 Si.upf
CELL_PARAMETERS angstrom
4.3846 0.0000 0.0000
-2.1923 3.7972 0.0000
0.0000 0.0000 3.4260
ATOMIC_POSITIONS crystal
Pu 0.0000 0.0000 0.0000
Al 0.6667 0.3333 0.5000
Si 0.3333 0.6667 0.5000
```

* total magnetic moment: 5.26 μB per formula unit
* crystal system: hexagonal
* mass density: 8.71 Mg/m³

***

Entry from the Alexandria database: a relaxed PuAl3Si2 crystal (PBE). Values from VASP.

Structure (Quantum ESPRESSO input):
```
&SYSTEM
  ibrav = 0, nat = 12, ntyp = 3
/
ATOMIC_SPECIES
Pu 244.00 Pu.upf
Al 26.98 Al.upf
Si 28.09 Si.upf
CELL_PARAMETERS angstrom
7.2595 -2.2265 0.0000
7.2595 2.2265 0.0000
-4.1360 0.0000 6.7701
ATOMIC_POSITIONS crystal
Pu 0.1483 0.1483 0.2162
Pu 0.8517 0.8517 0.7838
Al 0.0490 0.0490 0.7296
Al 0.2878 0.2878 0.9949
Al 0.4046 0.4046 0.4971
Al 0.5954 0.5954 0.5029
Al 0.7122 0.7122 0.0051
Al 0.9510 0.9510 0.2704
Si 0.1856 0.1856 0.6186
Si 0.4842 0.4842 0.1299
Si 0.5158 0.5158 0.8701
Si 0.8144 0.8144 0.3814
```

* total magnetic moment: 5.69 μB per formula unit
* crystal system: monoclinic
* mass density: 5.78 Mg/m³

***

Formation energy (no corrections), record by record: -0.329, -0.351, -0.331, -0.207, -0.161, -0.242, -0.266, 0.302, -0.011, -0.351, -0.372, -0.222, -0.346, -0.410, -0.230, -0.121, -0.135, -0.097, -0.379, -0.198 eV per atom